(1)
Entry from Alexandria: crystalline CaTl2Sb at its relaxed geometry (PBE-GGA).

a b c (Å): 9.0945 9.0945 9.0945
angles (deg): 25.83 25.83 25.83
Last column: nearest neighbours and their distance in Å.
Element x y z (fractional)
Tl (0.4943, 0.4943, 0.4943)  3 Sb 3.11, 3 Ca 3.32
Tl (0.0057, 0.0057, 0.0057)  3 Sb 3.11, 3 Ca 3.32
Ca (0.2500, 0.2500, 0.2500)  6 Tl 3.32
Sb (0.7500, 0.7500, 0.7500)  6 Tl 3.11

## Properties
- N(E_F) (states/eV per cell) = 1.30
- energy above the most stable polymorph in this dataset (kJ/mol of atoms) = 30.6

(2)
Entry from Alexandria: crystalline CaTlSb3 at its relaxed geometry (PBE-GGA).

a b c (Å): 5.7812 5.7812 5.7812
angles (deg): 90.00 90.00 90.00
Last column: nearest neighbours and their distance in Å.
Element x y z (fractional)
Sb (0.0000, 0.0000, 0.5000)  2 Ca 2.89
Sb (0.0000, 0.5000, 0.0000)  2 Ca 2.89
Sb (0.5000, 0.0000, 0.0000)  2 Ca 2.89
Tl (0.5000, 0.5000, 0.5000)  12 Sb 4.09
Ca (0.0000, 0.0000, 0.0000)  6 Sb 2.89

## Properties
- N(E_F) (states/eV per cell) = 3.76
- energy above the most stable polymorph in this dataset (kJ/mol of atoms) = 0.0

Q: What is the formula in the first record?
A: CaTl2Sb

Q: Which value of energy above the most stable polymorph in this dataset does entry 1 give?
A: 30.6 kJ/mol of atoms

Please write out number 2 again, unchanged.
Entry from Alexandria: crystalline CaTlSb3 at its relaxed geometry (PBE-GGA).

a b c (Å): 5.7812 5.7812 5.7812
angles (deg): 90.00 90.00 90.00
Last column: nearest neighbours and their distance in Å.
Element x y z (fractional)
Sb (0.0000, 0.0000, 0.5000)  2 Ca 2.89
Sb (0.0000, 0.5000, 0.0000)  2 Ca 2.89
Sb (0.5000, 0.0000, 0.0000)  2 Ca 2.89
Tl (0.5000, 0.5000, 0.5000)  12 Sb 4.09
Ca (0.0000, 0.0000, 0.0000)  6 Sb 2.89

## Properties
- N(E_F) (states/eV per cell) = 3.76
- energy above the most stable polymorph in this dataset (kJ/mol of atoms) = 0.0